HfBeP2Cl | PBE | optimized geometry

Calculated values
- Total DFT energy (no corrections): -5.126 eV per atom
- Fermi-level density of states: 3.0 states/eV/cell
- ΔE_f (raw): 0.143 eV per atom
- Offset from the most stable computed form: 0 meV per atom

Cell lengths 4.329, 4.329, 4.384 Å; angles 90.00, 90.00, 90.00 degrees
Positions (direct):
Hf (0.000, 0.000, 0.000)
Be (0.500, 0.500, 0.500)
P (0.000, 0.500, 0.500)
P (0.500, 0.000, 0.500)
Cl (0.500, 0.500, 0.000)

---

ScMnCl3 | PBE | optimized geometry

Calculated values
- Total DFT energy (no corrections): -4.808 eV per atom
- Fermi-level density of states: 6.3 states/eV/cell
- ΔE_f (raw): -0.600 eV per atom
- Offset from the most stable computed form: 303 meV per atom

Cell lengths 4.917, 4.917, 4.917 Å; angles 90.00, 90.00, 90.00 degrees
Positions (direct):
Sc (0.000, 0.000, 0.000)
Mn (0.500, 0.500, 0.500)
Cl (0.000, 0.500, 0.500)
Cl (0.500, 0.000, 0.500)
Cl (0.500, 0.500, 0.000)

---

KLi2Tl3I6 | PBE | optimized geometry

Calculated values
- Total DFT energy (no corrections): -2.718 eV per atom
- Fermi-level density of states: 0.0 states/eV/cell
- ΔE_f (raw): -0.941 eV per atom

Cell lengths 10.678, 10.678, 9.890 Å; angles 105.65, 105.65, 26.07 degrees
Positions (direct):
K (0.000, 0.000, 0.000)
Li (0.327, 0.327, 0.612)
Li (0.673, 0.673, 0.388)
Tl (0.000, 0.000, 0.500)
Tl (0.337, 0.337, 0.161)
Tl (0.663, 0.663, 0.839)
I (0.172, 0.172, 0.094)
I (0.181, 0.181, 0.566)
I (0.472, 0.472, 0.733)
I (0.528, 0.528, 0.267)
I (0.819, 0.819, 0.434)
I (0.828, 0.828, 0.906)

---

AsHSe2Br | PBE | optimized geometry

Calculated values
- Total DFT energy (no corrections): -2.765 eV per atom
- Fermi-level density of states: 1.9 states/eV/cell
- Offset from the most stable computed form: 0 meV per atom

Cell lengths 3.965, 3.965, 7.436 Å; angles 90.00, 90.00, 90.00 degrees
Positions (direct):
As (0.000, 0.000, 0.000)
H (0.500, 0.500, 0.500)
Se (0.000, 0.500, 0.500)
Se (0.500, 0.000, 0.500)
Br (0.500, 0.500, 0.000)

---

KPt2Se | PBE | optimized geometry

Calculated values
- Total DFT energy (no corrections): -4.295 eV per atom
- Fermi-level density of states: 3.2 states/eV/cell
- ΔE_f (raw): -0.130 eV per atom

Cell lengths 7.739, 7.739, 7.739 Å; angles 29.07, 29.07, 29.07 degrees
Positions (direct):
K (0.000, 0.000, 0.000)
Pt (0.503, 0.503, 0.503)
Pt (0.776, 0.776, 0.776)
Se (0.222, 0.222, 0.222)

---

KAlPb | PBE | optimized geometry

Calculated values
- Total DFT energy (no corrections): -2.700 eV per atom
- Fermi-level density of states: 5.2 states/eV/cell
- Formation enthalpy at 0 K: 3.45 kcal/mol of atoms

Cell lengths 7.301, 4.901, 10.673 Å; angles 90.00, 90.00, 90.00 degrees
Positions (direct):
K (0.121, 0.250, 0.092)
K (0.379, 0.750, 0.592)
K (0.621, 0.250, 0.408)
K (0.879, 0.750, 0.908)
Al (0.054, 0.250, 0.701)
Al (0.446, 0.750, 0.201)
Al (0.554, 0.250, 0.799)
Al (0.946, 0.750, 0.299)
Pb (0.119, 0.250, 0.422)
Pb (0.381, 0.750, 0.922)
Pb (0.619, 0.250, 0.078)
Pb (0.881, 0.750, 0.578)

---

Cu2H6Ru | PBE | optimized geometry

Calculated values
- Total DFT energy (no corrections): -4.075 eV per atom
- Fermi-level density of states: 0.3 states/eV/cell

Cell lengths 4.840, 4.840, 5.842 Å; angles 126.97, 126.97, 38.14 degrees
Positions (direct):
Cu (0.176, 0.176, 0.101)
Cu (0.824, 0.824, 0.899)
H (0.040, 0.040, 0.242)
H (0.250, 0.250, 0.767)
H (0.387, 0.387, 0.476)
H (0.613, 0.613, 0.524)
H (0.750, 0.750, 0.233)
H (0.960, 0.960, 0.758)
Ru (0.000, 0.000, 0.500)

---

Rb4Tm3ScSe8 | PBE | optimized geometry

Calculated values
- Total DFT energy (no corrections): -4.906 eV per atom
- Fermi-level density of states: 0.0 states/eV/cell
- ΔE_f (raw): -1.687 eV per atom

Cell lengths 9.301, 9.301, 9.301 Å; angles 53.09, 53.09, 53.09 degrees
Positions (direct):
Rb (0.000, 0.000, 0.000)
Rb (0.000, 0.500, 0.500)
Rb (0.500, 0.000, 0.500)
Rb (0.500, 0.500, 0.000)
Tm (0.000, 0.000, 0.500)
Tm (0.000, 0.500, 0.000)
Tm (0.500, 0.000, 0.000)
Sc (0.500, 0.500, 0.500)
Se (0.231, 0.231, 0.231)
Se (0.238, 0.726, 0.726)
Se (0.274, 0.274, 0.762)
Se (0.274, 0.762, 0.274)
Se (0.726, 0.238, 0.726)
Se (0.726, 0.726, 0.238)
Se (0.762, 0.274, 0.274)
Se (0.769, 0.769, 0.769)

---

RbNdP4O12 | PBE | optimized geometry

Calculated values
- Total DFT energy (no corrections): -7.277 eV per atom
- Fermi-level density of states: 0.0 states/eV/cell
- ΔE_f (raw): -2.451 eV per atom

Cell lengths 10.664, 9.181, 13.054 Å; angles 90.00, 125.04, 90.00 degrees
Positions (direct):
Rb (0.242, 0.070, 0.040)
Rb (0.242, 0.430, 0.540)
Rb (0.758, 0.570, 0.460)
Rb (0.758, 0.930, 0.960)
Nd (0.315, 0.726, 0.815)
Nd (0.315, 0.774, 0.315)
Nd (0.685, 0.226, 0.685)
Nd (0.685, 0.274, 0.185)
P (0.027, 0.029, 0.275)
P (0.027, 0.471, 0.775)
P (0.200, 0.602, 0.021)
P (0.200, 0.898, 0.521)
P (0.321, 0.173, 0.359)
P (0.321, 0.327, 0.859)
P (0.386, 0.094, 0.741)
P (0.386, 0.406, 0.241)
P (0.614, 0.594, 0.759)
P (0.614, 0.906, 0.259)
P (0.679, 0.673, 0.141)
P (0.679, 0.827, 0.641)
P (0.800, 0.102, 0.479)
P (0.800, 0.398, 0.979)
P (0.973, 0.529, 0.225)
P (0.973, 0.971, 0.725)
O (0.043, 0.539, 0.897)
O (0.043, 0.961, 0.397)
O (0.068, 0.581, 0.714)
O (0.068, 0.919, 0.214)
O (0.129, 0.597, 0.304)
O (0.129, 0.903, 0.804)
O (0.155, 0.159, 0.336)
O (0.155, 0.341, 0.836)
O (0.162, 0.704, 0.090)
O (0.162, 0.796, 0.590)
O (0.266, 0.051, 0.596)
O (0.266, 0.449, 0.096)
O (0.277, 0.207, 0.752)
O (0.277, 0.293, 0.252)
O (0.301, 0.655, 0.984)
O (0.301, 0.845, 0.484)
O (0.362, 0.035, 0.323)
O (0.362, 0.465, 0.823)
O (0.423, 0.536, 0.324)
O (0.423, 0.964, 0.824)
O (0.426, 0.240, 0.486)
O (0.426, 0.260, 0.986)
O (0.483, 0.677, 0.745)
O (0.483, 0.823, 0.245)
O (0.517, 0.177, 0.755)
O (0.517, 0.323, 0.255)
O (0.574, 0.740, 0.014)
O (0.574, 0.760, 0.514)
O (0.577, 0.036, 0.176)
O (0.577, 0.464, 0.676)
O (0.638, 0.535, 0.177)
O (0.638, 0.965, 0.677)
O (0.699, 0.155, 0.516)
O (0.699, 0.345, 0.016)
O (0.723, 0.707, 0.748)
O (0.723, 0.793, 0.248)
O (0.734, 0.551, 0.904)
O (0.734, 0.949, 0.404)
O (0.838, 0.204, 0.410)
O (0.838, 0.296, 0.910)
O (0.845, 0.659, 0.164)
O (0.845, 0.841, 0.664)
O (0.871, 0.097, 0.196)
O (0.871, 0.403, 0.696)
O (0.932, 0.081, 0.786)
O (0.932, 0.419, 0.286)
O (0.957, 0.039, 0.603)
O (0.957, 0.461, 0.103)

---

Ba2TcAu | PBE | optimized geometry

Calculated values
- Total DFT energy (no corrections): -4.215 eV per atom
- Fermi-level density of states: 4.0 states/eV/cell
- Offset from the most stable computed form: 0 meV per atom
- Formation enthalpy at 0 K: 3.61 kcal/mol of atoms

Cell lengths 8.969, 8.969, 8.969 Å; angles 29.66, 29.66, 29.66 degrees
Positions (direct):
Ba (0.000, 0.000, 0.000)
Ba (0.170, 0.170, 0.170)
Tc (0.418, 0.418, 0.418)
Au (0.752, 0.752, 0.752)

---

Dy3Mg7Ag2 | PBE | optimized geometry

Calculated values
- Total DFT energy (no corrections): -2.668 eV per atom
- Fermi-level density of states: 11.1 states/eV/cell
- Formation enthalpy at 0 K: -2.57 kcal/mol of atoms

Cell lengths 10.101, 10.101, 10.101 Å; angles 34.03, 34.03, 34.03 degrees
Positions (direct):
Dy (0.000, 0.000, 0.000)
Dy (0.144, 0.144, 0.144)
Dy (0.856, 0.856, 0.856)
Mg (0.076, 0.581, 0.581)
Mg (0.419, 0.419, 0.924)
Mg (0.419, 0.924, 0.419)
Mg (0.500, 0.500, 0.500)
Mg (0.581, 0.076, 0.581)
Mg (0.581, 0.581, 0.076)
Mg (0.924, 0.419, 0.419)
Ag (0.334, 0.334, 0.334)
Ag (0.666, 0.666, 0.666)

---

CePm2PuBi4 | PBE | optimized geometry

Calculated values
- Total DFT energy (no corrections): -6.415 eV per atom
- Fermi-level density of states: 22.4 states/eV/cell
- Formation enthalpy at 0 K: -17.37 kcal/mol of atoms

Cell lengths 7.914, 4.574, 7.937 Å; angles 90.00, 109.46, 90.00 degrees
Positions (direct):
Ce (0.000, 0.000, 0.000)
Pm (0.000, 0.500, 0.500)
Pm (0.500, 0.000, 0.500)
Pu (0.500, 0.500, 0.000)
Bi (0.250, 0.500, 0.248)
Bi (0.252, 0.000, 0.753)
Bi (0.748, 0.000, 0.247)
Bi (0.750, 0.500, 0.752)

---

La8GaAg2 | PBE | optimized geometry

Calculated values
- Total DFT energy (no corrections): -4.561 eV per atom
- Fermi-level density of states: 12.0 states/eV/cell
- Offset from the most stable computed form: 0 meV per atom
- Formation enthalpy at 0 K: -4.24 kcal/mol of atoms

Cell lengths 9.814, 9.814, 7.443 Å; angles 109.61, 109.61, 31.31 degrees
Positions (direct):
La (0.019, 0.019, 0.276)
La (0.195, 0.195, 0.818)
La (0.331, 0.331, 0.513)
La (0.413, 0.413, 0.039)
La (0.587, 0.587, 0.961)
La (0.669, 0.669, 0.487)
La (0.805, 0.805, 0.182)
La (0.981, 0.981, 0.724)
Ga (0.500, 0.500, 0.500)
Ag (0.174, 0.174, 0.212)
Ag (0.826, 0.826, 0.788)

---

Y2LuPb | PBE | optimized geometry

Calculated values
- Total DFT energy (no corrections): -5.549 eV per atom
- Fermi-level density of states: 5.4 states/eV/cell
- Offset from the most stable computed form: 0 meV per atom
- Formation enthalpy at 0 K: -5.99 kcal/mol of atoms

Cell lengths 4.860, 4.860, 4.835 Å; angles 90.00, 90.00, 90.00 degrees
Positions (direct):
Y (0.000, 0.500, 0.000)
Y (0.500, 0.000, 0.000)
Lu (0.000, 0.000, 0.500)
Pb (0.500, 0.500, 0.500)

---

Tb3Ge13Os4 | PBE | optimized geometry

Calculated values
- Total DFT energy (no corrections): -6.286 eV per atom
- Fermi-level density of states: 17.0 states/eV/cell
- Formation enthalpy at 0 K: -7.94 kcal/mol of atoms

Cell lengths 9.084, 9.084, 9.084 Å; angles 90.00, 90.00, 90.00 degrees
Positions (direct):
Tb (0.000, 0.250, 0.500)
Tb (0.000, 0.750, 0.500)
Tb (0.250, 0.500, 0.000)
Tb (0.500, 0.000, 0.250)
Tb (0.500, 0.000, 0.750)
Tb (0.750, 0.500, 0.000)
Ge (0.000, 0.000, 0.000)
Ge (0.000, 0.298, 0.145)
Ge (0.000, 0.298, 0.855)
Ge (0.000, 0.702, 0.145)
Ge (0.000, 0.702, 0.855)
Ge (0.145, 0.000, 0.298)
Ge (0.145, 0.000, 0.702)
Ge (0.202, 0.500, 0.355)
Ge (0.202, 0.500, 0.645)
Ge (0.298, 0.145, 0.000)
Ge (0.298, 0.855, 0.000)
Ge (0.355, 0.202, 0.500)
Ge (0.355, 0.798, 0.500)
Ge (0.500, 0.355, 0.202)
Ge (0.500, 0.355, 0.798)
Ge (0.500, 0.500, 0.500)
Ge (0.500, 0.645, 0.202)
Ge (0.500, 0.645, 0.798)
Ge (0.645, 0.202, 0.500)
Ge (0.645, 0.798, 0.500)
Ge (0.702, 0.145, 0.000)
Ge (0.702, 0.855, 0.000)
Ge (0.798, 0.500, 0.355)
Ge (0.798, 0.500, 0.645)
Ge (0.855, 0.000, 0.298)
Ge (0.855, 0.000, 0.702)
Os (0.250, 0.250, 0.250)
Os (0.250, 0.250, 0.750)
Os (0.250, 0.750, 0.250)
Os (0.250, 0.750, 0.750)
Os (0.750, 0.250, 0.250)
Os (0.750, 0.250, 0.750)
Os (0.750, 0.750, 0.250)
Os (0.750, 0.750, 0.750)

---

Pa2Be3GeIr4 | PBE | optimized geometry

Calculated values
- Total DFT energy (no corrections): -7.686 eV per atom
- Fermi-level density of states: 7.8 states/eV/cell
- Formation enthalpy at 0 K: -15.29 kcal/mol of atoms

Cell lengths 4.061, 4.061, 9.543 Å; angles 90.00, 90.00, 90.00 degrees
Positions (direct):
Pa (0.000, 0.500, 0.236)
Pa (0.500, 0.000, 0.764)
Be (0.000, 0.500, 0.885)
Be (0.500, 0.000, 0.115)
Be (0.500, 0.500, 0.500)
Ge (0.000, 0.000, 0.500)
Ir (0.000, 0.000, 0.000)
Ir (0.000, 0.500, 0.647)
Ir (0.500, 0.000, 0.353)
Ir (0.500, 0.500, 0.000)

---

HfPaAs | PBE | optimized geometry

Calculated values
- Total DFT energy (no corrections): -8.414 eV per atom
- Fermi-level density of states: 6.1 states/eV/cell
- Offset from the most stable computed form: 81 meV per atom
- Formation enthalpy at 0 K: -8.78 kcal/mol of atoms

Cell lengths 6.045, 6.045, 5.025 Å; angles 90.00, 90.00, 132.80 degrees
Positions (direct):
Hf (0.091, 0.909, 0.750)
Hf (0.909, 0.091, 0.250)
Pa (0.387, 0.613, 0.750)
Pa (0.613, 0.387, 0.250)
As (0.260, 0.740, 0.250)
As (0.740, 0.260, 0.750)

---

NiPPb3 | PBE | optimized geometry

Calculated values
- Total DFT energy (no corrections): -3.572 eV per atom
- Fermi-level density of states: 4.4 states/eV/cell
- Offset from the most stable computed form: 564 meV per atom
- Formation enthalpy at 0 K: 20.54 kcal/mol of atoms

Cell lengths 5.405, 5.405, 5.405 Å; angles 90.00, 90.00, 90.00 degrees
Positions (direct):
Ni (0.000, 0.000, 0.000)
P (0.500, 0.500, 0.500)
Pb (0.000, 0.500, 0.500)
Pb (0.500, 0.000, 0.500)
Pb (0.500, 0.500, 0.000)

---

Np2Si3Ge2 | PBE | optimized geometry

Calculated values
- Total DFT energy (no corrections): -7.273 eV per atom
- Fermi-level density of states: 33.2 states/eV/cell
- ΔE_f (raw): 0.068 eV per atom

Cell lengths 7.118, 7.118, 7.118 Å; angles 109.47, 109.47, 109.47 degrees
Positions (direct):
Np (0.000, 0.494, 0.500)
Np (0.006, 0.006, 0.006)
Np (0.494, 0.500, 0.000)
Np (0.500, 0.000, 0.494)
Si (0.004, 0.254, 0.750)
Si (0.246, 0.250, 0.496)
Si (0.250, 0.496, 0.246)
Si (0.254, 0.750, 0.004)
Si (0.496, 0.246, 0.250)
Si (0.750, 0.004, 0.254)
Ge (0.000, 0.885, 0.500)
Ge (0.500, 0.000, 0.885)
Ge (0.615, 0.615, 0.615)
Ge (0.885, 0.500, 0.000)